DFT (PBE with a Hubbard U) results for K8Ni3O8 after structural relaxation.

Geometry as CIF:
```
data_K8Ni3O8
_chemical_formula_sum 'K16 Ni6 O16'
_symmetry_space_group_name_H-M 'C 1 2/m 1'
_symmetry_Int_Tables_number 12
_symmetry_space_group_name_Hall '-C 2y'
_cell_length_a 19.5545
_cell_length_b 5.4397
_cell_length_c 7.9363
_cell_angle_alpha 90.00
_cell_angle_beta 107.73
_cell_angle_gamma 90.00
loop_
_atom_site_label
_atom_site_type_symbol
_atom_site_fract_x
_atom_site_fract_y
_atom_site_fract_z
K1 K 0.0279 0.0000 0.2357
K2 K 0.1027 0.5000 0.9494
K3 K 0.1685 0.5000 0.4673
K4 K 0.1955 0.0000 0.8034
Ni1 Ni 0.0000 0.5000 0.5000
Ni2 Ni 0.1893 0.0000 0.2074
O1 O 0.0217 0.5000 0.3068
O2 O 0.1099 0.0000 0.0126
O3 O 0.1759 0.0000 0.4160
O4 O 0.2259 0.5000 0.8293
```

Calculated values
total energy: -4.08 eV/atom
volume: 402.0 Å³/f.u.
M_tot: 0.425 μB/atom